(1)
The following is a DFT calculation (meta-GGA SCAN) of a PBEsol-optimized structure of Y2MnS4. Values from VASP.

Cell and atoms, written as Quantum ESPRESSO input:
```
&SYSTEM
  ibrav = 0, nat = 14, ntyp = 3
/
ATOMIC_SPECIES
S 32.06 S.upf
Y 88.91 Y.upf
Mn 54.94 Mn.upf
CELL_PARAMETERS angstrom
3.742 0.000 0.000
-1.871 6.069 0.000
0.000 0.000 12.661
ATOMIC_POSITIONS crystal
S 0.793 0.586 0.135
S 0.242 0.483 0.895
S 0.959 0.918 0.771
S 0.510 0.020 0.994
S 0.758 0.517 0.395
S 0.207 0.414 0.635
S 0.490 0.980 0.494
S 0.041 0.082 0.271
Y 0.618 0.237 0.785
Y 0.138 0.276 0.082
Y 0.862 0.724 0.582
Y 0.382 0.763 0.285
Mn 0.873 0.745 0.947
Mn 0.127 0.255 0.447
```

## Properties
E_form (uncorrected): -2.0158 eV/atom
space-group type: Cmc2_1 (36)



(2)
The following is a DFT calculation (meta-GGA SCAN) of a PBEsol-optimized structure of YAlSb2. Values from VASP.

Cell and atoms, written as Quantum ESPRESSO input:
```
&SYSTEM
  ibrav = 0, nat = 4, ntyp = 3
/
ATOMIC_SPECIES
Sb 121.76 Sb.upf
Y 88.91 Y.upf
Al 26.98 Al.upf
CELL_PARAMETERS angstrom
4.276 0.002 -0.004
0.002 4.259 -0.052
-2.143 -2.067 5.259
ATOMIC_POSITIONS crystal
Sb 0.750 0.251 0.500
Sb 0.000 0.000 0.001
Y 0.500 0.499 0.000
Al 0.249 0.750 0.499
```

## Properties
E_form (uncorrected): -0.4669 eV/atom
space-group type: Cm (8)



(3)
The following is a DFT calculation (meta-GGA SCAN) of a PBEsol-optimized structure of CsKNiF2. Values from VASP.

Cell and atoms, written as Quantum ESPRESSO input:
```
&SYSTEM
  ibrav = 0, nat = 5, ntyp = 4
/
ATOMIC_SPECIES
F 19.00 F.upf
K 39.10 K.upf
Cs 132.91 Cs.upf
Ni 58.69 Ni.upf
CELL_PARAMETERS angstrom
4.681 0.000 0.000
0.000 4.681 0.000
0.000 0.000 4.662
ATOMIC_POSITIONS crystal
F 0.500 0.000 0.000
F 0.000 0.500 0.000
K 0.000 0.000 0.500
Cs 0.500 0.500 0.500
Ni 0.000 0.000 0.000
```

## Properties
E_form (uncorrected): -0.9367 eV/atom
space-group type: P4/mmm (123)



(4)
The following is a DFT calculation (meta-GGA SCAN) of a PBEsol-optimized structure of BiB3Os. Values from VASP.

Cell and atoms, written as Quantum ESPRESSO input:
```
&SYSTEM
  ibrav = 0, nat = 5, ntyp = 3
/
ATOMIC_SPECIES
B 10.81 B.upf
Os 190.23 Os.upf
Bi 208.98 Bi.upf
CELL_PARAMETERS angstrom
4.180 0.000 0.000
0.000 4.180 0.000
0.000 0.000 4.180
ATOMIC_POSITIONS crystal
B 0.500 0.000 0.000
B 0.000 0.500 0.000
B 0.000 0.000 0.500
Os 0.000 0.000 0.000
Bi 0.500 0.500 0.500
```

## Properties
space-group type: Pm-3m (221)
formation energy from the elements: 1.20 eV/atom